Below is a relaxed structure of KTcSe2Br, with properties calculated at the PBE level.

a = 5.570 Å, b = 5.570 Å, c = 5.692 Å
α = 90.00°, β = 90.00°, γ = 90.00°
Space group P4/mmm (No. 123)
Unique sites:
K: 0.000 0.000 0.000 (multiplicity 1)
Tc: 0.500 0.500 0.500 (multiplicity 1)
Se: 0.000 0.500 0.000 (multiplicity 2)
Br: 0.000 0.000 0.500 (multiplicity 1)

Total moment: 5.69 μB per cell
Energy relative to the elements, uncorrected: 1.2470 eV/atom
Polymorph energy (0 for the lowest one): 806.6 kJ/mol of formula units